A geometry-optimized Sm3Cd3Ga2Ag structure. Source: the Open Quantum Materials Database, functional GGA-PBE.

The space group is P-62m (No. 189) and the conventional cell measures 7.6019, 7.6019 and 4.2195 Å, with angles of 90.00, 90.00 and 120.00 degrees. The distinct sites, in fractional coordinates, are Sm at (0.0000, 0.5866, 0.0000), Cd at (0.0000, 0.2563, 0.5000), Ga at (0.3333, 0.6667, 0.5000) and Ag at (0.0000, 0.0000, 0.0000).

The total energy is -3.342 eV/atom.